## PmHfAs2O8 (PBE)

Data for a relaxed structure of PmHfAs2O8.

Geometry as POSCAR:
```
PmHfAs2O8
1.0
-3.542 3.542 3.215
3.542 -3.542 3.215
3.542 3.542 -3.215
Pm Hf As O
1 1 2 8
Cartesian
0.000 0.000 0.000
3.542 0.000 1.607
0.000 0.000 3.215
0.000 3.542 1.607
2.112 3.542 -1.196
1.430 0.000 2.019
0.000 2.310 0.408
3.542 2.112 1.196
0.000 4.775 0.408
0.000 1.430 4.411
-1.233 3.542 2.807
1.233 3.542 2.807
```

Summary:
Total energy = -7.5002 eV/atom
Space-group type = No. 119
Formation energy (no corrections) = -26.334 eV per formula unit